The following is a PBE with a Hubbard U calculation of crystalline CoNiP2O at its relaxed geometry, from Alexandria via LeMat-Bulk.

a b c (Å): 4.5923 4.5923 3.3495
angles (deg): 90.00 90.00 90.00
With the nearest neighbours (Å) after each atom.
Element x y z (fractional)
Co: 0.0000 0.0000 0.0000  2 O 1.67
Ni: 0.5000 0.5000 0.5000  8 P 2.84
P: 0.0000 0.5000 0.0000  2 Co 2.30
P: 0.5000 0.0000 0.0000  2 Co 2.30
O: 0.0000 0.0000 0.5000  2 Co 1.67

Energy above the most stable polymorph in this dataset (eV/atom): 0.000
Energy (eV per formula unit): -20.94
Space group: No. 123
Density (g/cm3): 4.60